MgPdN2F, relaxed, DFT PBE-GGA; DOS(E_F) = 5.12 states/eV per cell; polymorph energy (0 for the lowest one) = 81.5 kJ/mol of formula units; spin magnetization = 0.0 μB/f.u.; formation energy from raw total energies = 675 meV/atom; SG = P4/mmm; crystal system = tetragonal
1.0
-2.224 -2.107 -2.675
-0.152 -3.130 2.592
-3.047 1.359 1.463
N F Pd Mg
2 1 1 1
Cartesian
-1.112 -1.054 -1.337
-0.076 -1.565 1.296
-1.524 0.680 0.732
-2.711 -1.939 0.690
0.000 0.000 0.000



RbMgN2F, relaxed, DFT PBE-GGA; DOS(E_F) = 1.28 states/eV per cell; polymorph energy (0 for the lowest one) = 0.0 kJ/mol of formula units; spin magnetization = 4.0 μB/f.u.; formation energy from raw total energies = -94 meV/atom; SG = P4/mmm; crystal system = tetragonal
1.0
4.407 0.000 0.000
0.000 4.407 0.000
0.000 0.000 4.225
N Mg F Rb
2 1 1 1
Cartesian
2.203 0.000 0.000
0.000 2.203 0.000
0.000 0.000 0.000
0.000 0.000 2.112
2.203 2.203 2.112



RbMgNF2, relaxed, DFT PBE-GGA; polymorph energy (0 for the lowest one) = 0.0 kJ/mol of formula units; spin magnetization = 2.0 μB/f.u.; formation energy from raw total energies = -1654 meV/atom; SG = P4/mmm; crystal system = tetragonal
1.0
-1.618 -2.830 2.635
3.507 0.129 2.291
-1.699 3.225 2.419
N Rb F Mg
1 1 2 1
Cartesian
-0.849 1.612 1.210
0.095 0.262 3.673
1.754 0.064 1.146
-0.809 -1.415 1.318
0.000 0.000 0.000



RbMgN2F, relaxed, DFT PBE-GGA; DOS(E_F) = 2.85 states/eV per cell; polymorph energy (0 for the lowest one) = 738.2 kJ/mol of formula units; spin magnetization = 2.0 μB/f.u.; formation energy from raw total energies = 1436 meV/atom; SG = P4/mmm; crystal system = tetragonal
1.0
-2.510 1.638 -3.289
-3.610 -1.845 1.836
-0.744 4.006 2.562
Rb N Mg F
1 2 1 1
Cartesian
0.000 0.000 0.000
-1.805 -0.922 0.918
-1.255 0.819 -1.645
-3.432 1.899 0.554
-0.372 2.003 1.281